Here is a relaxed Pm4Nd6Sm crystal from Alexandria. Energies are from GGA-PBE.

Results
space-group type = I-42m (121)
mass density = 6.6 g/cm3
energy relative to the lowest polymorph listed for this composition = 75 meV/atom
crystal system = tetragonal

Cell and atoms, written as CIF:
```
data_Pm4Nd6Sm
_chemical_formula_sum 'Pm4 Nd6 Sm1'
_cell_length_a 7.673
_cell_length_b 7.673
_cell_length_c 8.724
_cell_angle_alpha 116.09
_cell_angle_beta 116.09
_cell_angle_gamma 90.00
_symmetry_space_group_name_H-M 'P 1'
_symmetry_Int_Tables_number 1
loop_
_symmetry_equiv_pos_as_xyz
'x,y,z'
loop_
_atom_site_label
_atom_site_type_symbol
_atom_site_fract_x
_atom_site_fract_y
_atom_site_fract_z
Nd1 Nd 0.915 0.461 0.375
Nd2 Nd 0.539 0.539 0.625
Pm1 Pm 0.251 0.251 0.161
Pm2 Pm 0.910 0.910 0.161
Pm3 Pm 0.749 0.090 0.839
Nd3 Nd 0.085 0.085 0.625
Nd4 Nd 0.500 0.000 0.000
Sm1 Sm 0.500 0.500 0.000
Pm4 Pm 0.090 0.749 0.839
Nd5 Nd 0.000 0.500 0.000
Nd6 Nd 0.461 0.915 0.375
```

Here is a relaxed CdTcNi2 crystal from Alexandria. Energies are from GGA-PBE.

Results
space-group type = I-42d (122)
mass density = 8.6 g/cm3
crystal system = tetragonal

Cell and atoms, written as CIF:
```
data_CdTcNi2
_chemical_formula_sum 'Cd2 Tc2 Ni4'
_cell_length_a 6.801
_cell_length_b 6.801
_cell_length_c 5.527
_cell_angle_alpha 52.03
_cell_angle_beta 52.03
_cell_angle_gamma 90.00
_symmetry_space_group_name_H-M 'P 1'
_symmetry_Int_Tables_number 1
loop_
_symmetry_equiv_pos_as_xyz
'x,y,z'
loop_
_atom_site_label
_atom_site_type_symbol
_atom_site_fract_x
_atom_site_fract_y
_atom_site_fract_z
Cd1 Cd 0.750 0.250 0.500
Ni1 Ni 0.595 0.125 0.250
Ni2 Ni 0.875 0.845 0.750
Ni3 Ni 0.375 0.405 0.750
Cd2 Cd 0.000 0.000 0.000
Ni4 Ni 0.155 0.625 0.250
Tc1 Tc 0.250 0.750 0.500
Tc2 Tc 0.500 0.500 0.000
```

Here is a relaxed Sm6CdAg crystal from Alexandria. Energies are from GGA-PBE.

Results
space-group type = I4/mmm (139)
mass density = 7.7 g/cm3
energy relative to the lowest polymorph listed for this composition = 0 meV/atom
crystal system = tetragonal

Cell and atoms, written as CIF:
```
data_Sm6CdAg
_chemical_formula_sum 'Sm6 Cd1 Ag1'
_cell_length_a 5.193
_cell_length_b 5.193
_cell_length_c 9.722
_cell_angle_alpha 74.50
_cell_angle_beta 74.50
_cell_angle_gamma 90.00
_symmetry_space_group_name_H-M 'P 1'
_symmetry_Int_Tables_number 1
loop_
_symmetry_equiv_pos_as_xyz
'x,y,z'
loop_
_atom_site_label
_atom_site_type_symbol
_atom_site_fract_x
_atom_site_fract_y
_atom_site_fract_z
Sm1 Sm 0.890 0.390 0.220
Sm2 Sm 0.749 0.749 0.502
Sm3 Sm 0.251 0.251 0.498
Cd1 Cd 0.500 0.500 0.000
Sm4 Sm 0.110 0.610 0.780
Sm5 Sm 0.610 0.110 0.780
Ag1 Ag 0.000 0.000 0.000
Sm6 Sm 0.390 0.890 0.220
```

Here is a relaxed SrTcRu2 crystal from Alexandria. Energies are from GGA-PBE.

Results
space-group type = Pmm2 (25)
mass density = 8.4 g/cm3
energy relative to the lowest polymorph listed for this composition = 112 meV/atom
crystal system = orthorhombic

Cell and atoms, written as CIF:
```
data_SrTcRu2
_chemical_formula_sum 'Sr1 Tc1 Ru2'
_cell_length_a 2.831
_cell_length_b 3.765
_cell_length_c 7.154
_cell_angle_alpha 90.00
_cell_angle_beta 90.00
_cell_angle_gamma 90.00
_symmetry_space_group_name_H-M 'P 1'
_symmetry_Int_Tables_number 1
loop_
_symmetry_equiv_pos_as_xyz
'x,y,z'
loop_
_atom_site_label
_atom_site_type_symbol
_atom_site_fract_x
_atom_site_fract_y
_atom_site_fract_z
Ru1 Ru 0.500 0.500 0.182
Tc1 Tc 0.500 0.500 0.833
Ru2 Ru 0.000 0.000 0.993
Sr1 Sr 0.000 0.000 0.492
```

no.,DFT formation energy (eV/f.u.)
1,3.9
2,2.8
3,-1.0
4,2.4